Zn2Te | PBE | optimized geometry

Cell and atoms, written as CIF:
```
data_Zn2Te
_space_group_name_H-M_alt 'C 1 m 1'
_space_group_IT_number 8
_space_group_name_Hall 'C -2y'
_cell_length_a 12.037
_cell_length_b 4.251
_cell_length_c 6.255
_cell_angle_alpha 90.00
_cell_angle_beta 121.24
_cell_angle_gamma 90.00
loop_
_atom_site_label
_atom_site_type_symbol
_atom_site_fract_x
_atom_site_fract_y
_atom_site_fract_z
_atom_site_occupancy
Zn1 Zn 0.000 0.000 0.000 1
Zn2 Zn 0.025 0.500 0.326 1
Zn3 Zn 0.314 0.500 0.106 1
Zn4 Zn 0.350 0.000 0.845 1
Te1 Te 0.085 0.000 0.662 1
Te2 Te 0.265 0.000 0.341 1
```

Offset from the most stable computed form: 93 meV/atom
Energy relative to the elements, uncorrected: -0.03 eV per atom